Li3PmMo4O12 after structural relaxation. Source: Alexandria, functional PBE with a Hubbard U.

a = 6.662 Å, b = 6.662 Å, c = 6.662 Å
α = 109.47°, β = 109.47°, γ = 109.47°
Sites, in units of the cell vectors:
1 O 0.471 0.292 0.178
2 O 0.292 0.178 0.471
3 O 0.178 0.886 0.708
4 O 0.822 0.529 0.708
5 O 0.708 0.822 0.529
6 O 0.529 0.708 0.822
7 O 0.822 0.114 0.292
8 O 0.292 0.822 0.114
9 O 0.178 0.471 0.292
10 O 0.708 0.178 0.886
11 O 0.886 0.708 0.178
12 O 0.114 0.292 0.822
13 Mo 0.000 0.000 0.500
14 Mo 0.500 0.500 0.500
15 Mo 0.500 0.000 0.000
16 Mo 0.000 0.500 0.000
17 Li 0.500 0.000 0.500
18 Li 0.000 0.500 0.500
19 Li 0.500 0.500 0.000
20 Pm 0.000 0.000 0.000

Summary:
Calculated density, g/cm³: 5.4
Final energy, eV/atom: -6.867
Symmetry: Im-3